# 1
4
Lattice="2.915 0.000 0.000 0.000 2.915 0.000 0.000 0.000 8.417" Properties=species:S:1:pos:R:3 comment="TcPtCl2 PBE optimized geometry" e_above_lowest_polymorph_mev_per_atom=842 crystal_system=tetragonal spacegroup="No. 123" m_tot_mub_per_atom=0.173 e_form_raw_ev_per_atom=0.728 volume_a3_per_cell=71 pbc="T T T"
Tc 0.000 0.000 0.000
Pt 0.000 0.000 4.209
Cl 1.457 1.457 1.526
Cl 1.457 1.457 6.891

***

# 2
4
Lattice="2.855 0.000 0.000 0.000 2.855 0.000 0.000 0.000 7.968" Properties=species:S:1:pos:R:3 comment="TcPt2Cl PBE optimized geometry" e_above_lowest_polymorph_mev_per_atom=103 crystal_system=tetragonal spacegroup="No. 123" m_tot_mub_per_atom=0.000 e_form_raw_ev_per_atom=0.170 volume_a3_per_cell=65 pbc="T T T"
Tc 0.000 0.000 0.000
Pt 1.428 1.428 1.808
Pt 1.428 1.428 6.160
Cl 0.000 0.000 3.984